Entry from Alexandria: a relaxed Zn2BrCl crystal (PBE). Values from VASP.

The structure in Quantum ESPRESSO input format:
```
&SYSTEM
  ibrav = 0, nat = 4, ntyp = 3
/
ATOMIC_SPECIES
Zn 65.41 Zn.upf
Br 79.90 Br.upf
Cl 35.45 Cl.upf
CELL_PARAMETERS angstrom
1.7420 -3.6401 0.0000
1.7420 3.6401 0.0000
0.0000 0.0000 9.1713
ATOMIC_POSITIONS angstrom
Zn 0.0000 0.0000 0.0000
Zn 1.7420 0.0000 2.0717
Br 1.7420 0.0000 7.4150
Cl 0.0000 0.0000 3.6614
```

Crystal system: orthorhombic
E: -1.939 eV per atom
Relative energy among the computed polymorphs: 192.9 meV per atom
Formation energy (no corrections): -422 meV/atom
Magnetic moment: 0.00 Bohr magnetons per cell
Symmetry: Cmm2, No. 35